Computed, not measured: a relaxed Sr2CoOs crystal at the PBE level of DFT.

Cell: 4.0819 4.0819 8.7056 Å, 76.57 76.57 59.98°
Atoms (fractional coordinates):
1 Co 0.5418 0.5418 0.3742
2 Sr 0.7893 0.7893 0.6344
3 Sr 0.9607 0.9607 0.1157
4 Os 0.2082 0.2082 0.3757

The calculation puts the energy above the most stable polymorph in this dataset at 0 meV/atom.

Computed, not measured: a relaxed Sr2CoOs crystal at the PBE level of DFT.

Cell: 8.4538 5.5865 3.0328 Å, 89.97 69.02 131.26°
Atoms (fractional coordinates):
1 Os 0.5000 0.5000 0.0000
2 Co 0.0000 0.5000 0.5000
3 Sr 0.0000 0.0000 0.0000
4 Sr 0.5000 0.0000 0.5000

The calculation puts the energy above the most stable polymorph in this dataset at 749 meV/atom.

Computed, not measured: a relaxed SrCo2Os crystal at the PBE level of DFT.

Cell: 4.5490 4.5490 4.5490 Å, 60.00 60.00 60.00°
Atoms (fractional coordinates):
1 Os 0.5000 0.5000 0.5000
2 Sr 0.7500 0.7500 0.7500
3 Co 0.0000 0.0000 0.0000
4 Co 0.2500 0.2500 0.2500

The calculation puts the energy above the most stable polymorph in this dataset at 837 meV/atom.

Computed, not measured: a relaxed Sr2CoOs crystal at the PBE level of DFT.

Cell: 5.1651 5.1651 5.1651 Å, 60.00 60.00 60.00°
Atoms (fractional coordinates):
1 Os 0.5000 0.5000 0.5000
2 Co 0.0000 0.0000 0.0000
3 Sr 0.7500 0.7500 0.7500
4 Sr 0.2500 0.2500 0.2500

The calculation puts the energy above the most stable polymorph in this dataset at 780 meV/atom.

Computed, not measured: a relaxed Sr2CoOs crystal at the PBE level of DFT.

Cell: 6.1729 6.1729 6.1729 Å, 141.88 132.58 62.40°
Atoms (fractional coordinates):
1 Sr 0.7350 0.2350 0.5000
2 Sr 0.0142 0.0142 0.0000
3 Co 0.4219 0.4219 0.0000
4 Os 0.3290 0.8290 0.5000

The calculation puts the energy above the most stable polymorph in this dataset at 240 meV/atom.

Computed, not measured: a relaxed Sr2CoOs crystal at the PBE level of DFT.

Cell: 11.0365 11.0365 8.1110 Å, 47.13 47.13 90.00°
Atoms (fractional coordinates):
1 Co 0.2500 0.7500 0.5000
2 Co 0.5000 0.5000 0.0000
3 Sr 0.3088 0.6250 0.2500
4 Sr 0.3750 0.5588 0.7500
5 Sr 0.4412 0.1250 0.2500
6 Sr 0.8750 0.6912 0.7500
7 Os 0.0000 0.0000 0.0000
8 Os 0.7500 0.2500 0.5000

The calculation puts the energy above the most stable polymorph in this dataset at 497 meV/atom.

Computed, not measured: a relaxed SrCo2Os crystal at the PBE level of DFT.

Cell: 5.6562 5.6562 5.6562 Å, 151.93 129.86 58.45°
Atoms (fractional coordinates):
1 Co 0.9627 0.9627 0.0000
2 Co 0.7538 0.2538 0.5000
3 Sr 0.2469 0.7469 0.5000
4 Os 0.5366 0.5366 0.0000

The calculation puts the energy above the most stable polymorph in this dataset at 513 meV/atom.

Computed, not measured: a relaxed Sr2CoOs crystal at the PBE level of DFT.

Cell: 4.1343 4.7863 5.9225 Å, 66.15 90.00 90.00°
Atoms (fractional coordinates):
1 Sr 0.5000 0.2684 0.3386
2 Sr 0.0000 0.9831 0.9084
3 Os 0.5000 0.5814 0.7120
4 Co 0.0000 0.6671 0.5410

The calculation puts the energy above the most stable polymorph in this dataset at 137 meV/atom.

Computed, not measured: a relaxed Sr2Co2Os crystal at the PBE level of DFT.

Cell: 6.4216 6.4216 4.9170 Å, 90.00 90.00 90.00°
Atoms (fractional coordinates):
1 Co 0.6275 0.1275 0.0000
2 Co 0.8725 0.6275 0.0000
3 Co 0.3725 0.8725 0.0000
4 Co 0.1275 0.3725 0.0000
5 Sr 0.1854 0.6854 0.5000
6 Sr 0.8146 0.3146 0.5000
7 Sr 0.3146 0.1854 0.5000
8 Sr 0.6854 0.8146 0.5000
9 Os 0.0000 0.0000 0.0000
10 Os 0.5000 0.5000 0.0000

Computed, not measured: a relaxed SrCo2Os crystal at the PBE level of DFT.

Cell: 3.0825 3.0825 7.1480 Å, 90.00 90.00 90.01°
Atoms (fractional coordinates):
1 Sr 0.5000 0.5000 0.7500
2 Co 0.0000 0.0000 0.4253
3 Co 0.0000 0.0000 0.0747
4 Os 0.5000 0.5000 0.2500

The calculation puts the energy above the most stable polymorph in this dataset at 282 meV/atom.

Computed, not measured: a relaxed SrCoOs crystal at the PBE level of DFT.

Cell: 6.0322 6.0322 3.2692 Å, 74.28 74.28 31.44°
Atoms (fractional coordinates):
1 Co 0.9514 0.9514 0.0486
2 Sr 0.6673 0.6673 0.3327
3 Os 0.3813 0.3813 0.6187

The calculation puts the energy above the most stable polymorph in this dataset at 174 meV/atom.

Computed, not measured: a relaxed SrCo2Os crystal at the PBE level of DFT.

Cell: 4.7117 4.7117 2.8246 Å, 90.00 90.00 90.00°
Atoms (fractional coordinates):
1 Co 0.5000 0.5000 0.0000
2 Co 0.0000 0.0000 0.0000
3 Sr 0.0000 0.5000 0.5000
4 Os 0.5000 0.0000 0.5000

The calculation puts the energy above the most stable polymorph in this dataset at 559 meV/atom.

Sequential E_form output: 0.196, 0.945, 1.074, 0.976, 0.436, 0.693, 0.749, 0.332, 0.480, 0.519, 0.560, 0.795 eV per atom